# K2BaUSe6

K2BaUSe6 after structural relaxation (PBE-GGA, the Alexandria database).

The structure in CIF format:
```
data_K2BaUSe6
_symmetry_space_group_name_H-M 'P 1 21/c 1'
_symmetry_Int_Tables_number 14
_cell_length_a 7.886
_cell_length_b 8.270
_cell_length_c 13.754
_cell_angle_alpha 90.00
_cell_angle_beta 124.77
_cell_angle_gamma 90.00
loop_
_symmetry_equiv_pos_as_xyz
'x,y,z'
'-x,-y,-z'
'-x,y+1/2,-z+1/2'
'x,-y+1/2,z+1/2'
loop_
_atom_site_label
_atom_site_fract_x
_atom_site_fract_y
_atom_site_fract_z
_atom_site_occupancy
K1 0.228 0.064 0.251 1
Ba1 0.500 0.000 0.000 1
U1 0.000 0.000 0.500 1
Se1 0.116 0.234 0.940 1
Se2 0.222 0.683 0.952 1
Se3 0.327 0.035 0.723 1
```

Computed properties:
Total magnetic moment: 0.2126 μB per atom
Calculated total energy: -4.69 eV per atom